DFT (GGA-PBE) results for a relaxed Ce3MgIr2 crystal.

Cell: 6.635 7.095 8.273 Å, 115.39 113.64 90.00°
Sites, in units of the cell vectors:
Ce (0.777, 0.027, 0.555)
Mg (0.000, 0.500, 0.000)
Ir (0.846, 0.137, 0.275)
Ce (0.223, 0.973, 0.445)
Ce (0.223, 0.473, 0.445)
Ce (0.500, 0.250, 0.000)
Ir (0.154, 0.863, 0.725)
Mg (0.000, 0.000, 0.000)
Ir (0.571, 0.363, 0.725)
Ce (0.777, 0.527, 0.555)
Ce (0.500, 0.750, 0.000)
Ir (0.429, 0.637, 0.275)

Values from the calculation:
ρ: 8.73 g/cm3
Energy of formation: -508 meV/atom

---

DFT (GGA-PBE) results for a relaxed Ce3MgIr crystal.

Cell: 5.652 10.847 9.445 Å, 122.25 90.00 90.00°
Sites, in units of the cell vectors:
Ce (0.981, 0.320, 0.668)
Ce (0.553, 0.434, 0.654)
Ir (0.697, 0.609, 0.025)
Mg (0.542, 0.863, 0.341)
Ir (0.303, 0.391, 0.975)
Mg (0.458, 0.137, 0.659)
Ce (0.802, 0.343, 0.987)
Ce (0.053, 0.066, 0.346)
Mg (0.958, 0.363, 0.341)
Ce (0.947, 0.934, 0.654)
Ir (0.197, 0.891, 0.975)
Mg (0.042, 0.637, 0.659)
Ce (0.198, 0.657, 0.013)
Ce (0.519, 0.820, 0.668)
Ce (0.481, 0.180, 0.332)
Ce (0.302, 0.157, 0.013)
Ce (0.019, 0.680, 0.332)
Ir (0.803, 0.109, 0.025)
Ce (0.447, 0.566, 0.346)
Ce (0.698, 0.843, 0.987)

Values from the calculation:
ρ: 8.64 g/cm3
Energy of formation: -270 meV/atom

---

DFT (GGA-PBE) results for a relaxed Ce4MgIr crystal.

Cell: 5.765 9.343 7.495 Å, 119.52 99.97 109.84°
Sites, in units of the cell vectors:
Ce (0.239, 0.622, 0.765)
Ir (0.745, 0.995, 0.990)
Ir (0.255, 0.005, 0.010)
Ce (0.636, 0.058, 0.382)
Mg (0.660, 0.410, 0.819)
Ce (0.246, 0.324, 0.382)
Ce (0.027, 0.143, 0.765)
Ce (0.754, 0.676, 0.618)
Ce (0.761, 0.378, 0.235)
Ce (0.364, 0.942, 0.618)
Mg (0.340, 0.590, 0.181)
Ce (0.973, 0.857, 0.235)

Values from the calculation:
ρ: 8.59 g/cm3
Energy of formation: -225 meV/atom

---

DFT (GGA-PBE) results for a relaxed Ce2MgIr crystal.

Cell: 4.345 4.498 4.498 Å, 90.00 90.00 90.00°
Sites, in units of the cell vectors:
Mg (0.500, 0.500, 0.500)
Ir (0.500, 0.000, 0.000)
Ce (0.000, 0.000, 0.500)
Ce (0.000, 0.500, 0.000)

Values from the calculation:
ρ: 9.38 g/cm3
Energy of formation: -259 meV/atom